Record 1
A relaxed DyReB2 crystal. Source: the Alexandria database, functional PBE.

POSCAR file:
```
DyReB2
1.0
3.3803 0.0000 0.0000
0.0000 6.1128 0.0000
0.0000 0.0000 10.2391
Re B Dy
4 8 4
Cartesian
2.5352 5.3454 4.4766
0.8451 3.8238 9.5961
2.5352 2.2890 0.6430
0.8451 0.7674 5.7625
2.5352 5.8884 6.8912
2.5352 2.8320 8.4674
0.8451 0.2244 3.3479
2.5352 1.6435 7.0364
2.5352 4.6999 8.3222
0.8451 1.4129 1.9169
0.8451 4.4692 3.2027
0.8451 3.2808 1.7717
2.5352 2.3859 3.7053
0.8451 3.7269 6.5338
0.8451 0.6705 8.8248
2.5352 5.4423 1.4143
```

spin magnetization: 0.000 μB per atom
ΔH_f (0 K): -0.373 eV/atom
SG: Pnma, No. 62
D(E_F): 0.3326 states/eV per atom

***

Record 2
A relaxed Dy3ReB7 crystal. Source: the Alexandria database, functional PBE.

POSCAR file:
```
Dy3ReB7
1.0
8.1015 -0.0015 0.0000
-7.3281 3.4545 0.0000
0.0000 0.0000 9.3621
Re B Dy
2 14 6
Cartesian
-6.5095 3.2711 2.3405
7.2829 0.1819 7.0216
1.0421 1.5797 7.0216
-3.1171 2.5113 4.9910
0.7077 1.6546 3.7892
-1.6519 2.1831 6.0919
0.0657 1.7984 5.5729
2.4253 1.2699 3.2702
3.8905 0.9417 0.3099
3.8905 0.9417 4.3711
0.7077 1.6546 0.8919
0.0657 1.7984 8.4702
-0.2687 1.8733 2.3405
-3.1171 2.5113 9.0522
-1.6519 2.1831 7.9513
2.4253 1.2699 1.4109
6.4814 0.3614 0.5624
6.4814 0.3614 4.1187
-5.7080 3.0916 8.7997
4.3659 0.8352 7.0216
-5.7080 3.0916 5.2434
-3.5925 2.6178 2.3405
```

spin magnetization: 0.008 μB per atom
ΔH_f (0 K): -0.612 eV/atom
SG: Cmcm, No. 63
D(E_F): 0.4730 states/eV per atom

***

| no. | density (g cm⁻³) |
| --- | --- |
| 1 | 11.626 |
| 2 | 9.502 |